# RbTc2I (PBE, optimized geometry)
data_RbTc2I
_chemical_formula_sum 'Rb4 Tc8 I4'
_cell_length_a 6.846
_cell_length_b 6.846
_cell_length_c 6.846
_cell_angle_alpha 90.00
_cell_angle_beta 90.00
_cell_angle_gamma 90.00
_symmetry_space_group_name_H-M 'F m -3 m'
_symmetry_Int_Tables_number 225
_symmetry_space_group_name_Hall '-F 4 2 3'
loop_
_atom_site_label
_atom_site_type_symbol
_atom_site_fract_x
_atom_site_fract_y
_atom_site_fract_z
Rb1 Rb 0.000 0.000 0.000
Tc1 Tc 0.250 0.250 0.250
I1 I 0.000 0.000 0.500
# * raw formation energy: 178.1 kJ/mol of atoms
# * N(E_F): 24.25 states/eV/cell
# * E above lowest polymorph: 0.728 eV per atom